Below is Tb2In8Cu after structural relaxation, with properties calculated at the PBE-GGA level.

a = 4.6851 Å, b = 4.6851 Å, c = 12.2018 Å
α = 90.00°, β = 90.00°, γ = 90.00°
Space group P4/mmm (No. 123)
Symmetry-distinct sites (fractional):
Tb1 0.0000 0.0000 0.1908 [2 per cell]
In1 0.0000 0.5000 0.0000 [2 per cell]
In2 0.0000 0.5000 0.3752 [4 per cell]
In3 0.5000 0.5000 0.1917 [2 per cell]
Cu1 0.0000 0.0000 0.5000 [1 per cell]

Values from the calculation:
D(E_F) (states/eV/f.u.): 4.43
Mass density (g cm⁻³): 8.1
E (eV per formula unit): -38.5